[1]
## PaZn3Ga (GGA-PBE)

Data for a relaxed structure of PaZn3Ga.

Cell: 3.8823 4.2042 11.9438 Å, 100.14 90.00 90.00°
Atoms (fractional coordinates):
Zn (0.5000, 0.5525, 0.1049)
Zn (0.0000, 0.0541, 0.1082)
Zn (0.0000, 0.7258, 0.4517)
Zn (0.0000, 0.9459, 0.8918)
Zn (0.0000, 0.2742, 0.5483)
Zn (0.5000, 0.4475, 0.8951)
Ga (0.0000, 0.6220, 0.2440)
Ga (0.0000, 0.3780, 0.7560)
Pa (0.5000, 0.8328, 0.6656)
Pa (0.5000, 0.1672, 0.3344)

Output
DFT total energy in eV/cell: -32.91
Volume in Å³ per cell: 191.90
Crystal system: orthorhombic
Formation energy in eV/atom: -0.023
Symmetry: Cmmm, No. 65

***

[2]
## Pa2Zn2Ga3 (GGA-PBE)

Data for a relaxed structure of Pa2Zn2Ga3.

Cell: 4.3915 6.7581 9.5042 Å, 90.00 103.36 90.00°
Atoms (fractional coordinates):
Ga (0.7815, 0.2500, 0.5630)
Ga (0.4387, 0.9333, 0.8773)
Ga (0.5613, 0.0667, 0.1227)
Ga (0.4387, 0.5667, 0.8773)
Ga (0.2185, 0.7500, 0.4370)
Ga (0.5613, 0.4333, 0.1227)
Pa (0.8441, 0.7500, 0.6882)
Pa (0.9533, 0.2500, 0.9067)
Pa (0.0467, 0.7500, 0.0933)
Pa (0.1559, 0.2500, 0.3118)
Zn (0.6859, 0.9395, 0.3718)
Zn (0.6859, 0.5605, 0.3718)
Zn (0.3141, 0.0605, 0.6282)
Zn (0.3141, 0.4395, 0.6282)

Output
DFT total energy in eV/cell: -64.51
Volume in Å³ per cell: 274.44
Crystal system: orthorhombic
Formation energy in eV/atom: -0.233
Symmetry: Cmcm, No. 63

***

[3]
## Pa4Zn3Ga16 (GGA-PBE)

Data for a relaxed structure of Pa4Zn3Ga16.

Cell: 6.2728 6.2728 11.1452 Å, 90.00 90.00 90.00°
Atoms (fractional coordinates):
Ga (0.2862, 0.2862, 0.0000)
Ga (0.0000, 0.0000, 0.7649)
Ga (0.2600, 0.7400, 0.6258)
Ga (0.2862, 0.7138, 0.0000)
Ga (0.7138, 0.7138, 0.0000)
Ga (0.7400, 0.2600, 0.6258)
Ga (0.7138, 0.2862, 0.0000)
Ga (0.5000, 0.5000, 0.8047)
Ga (0.7400, 0.2600, 0.3742)
Ga (0.0000, 0.0000, 0.2351)
Ga (0.5000, 0.5000, 0.1953)
Ga (0.2600, 0.7400, 0.3742)
Ga (0.7400, 0.7400, 0.3742)
Ga (0.2600, 0.2600, 0.6258)
Ga (0.2600, 0.2600, 0.3742)
Ga (0.7400, 0.7400, 0.6258)
Pa (0.0000, 0.5000, 0.8131)
Pa (0.5000, 0.0000, 0.8131)
Pa (0.5000, 0.0000, 0.1869)
Pa (0.0000, 0.5000, 0.1869)
Zn (0.5000, 0.0000, 0.5000)
Zn (0.0000, 0.5000, 0.5000)
Zn (0.0000, 0.0000, 0.0000)

Output
DFT total energy in eV/cell: -95.56
Volume in Å³ per cell: 438.54
Crystal system: tetragonal
Formation energy in eV/atom: -0.232
Symmetry: P4/mmm, No. 123

***

Q: Among the records above, which one has the highest DFT total energy?
A: PaZn3Ga